Entry 1:
Density functional theory data (PBE) for crystalline Pr3Sb2 at its relaxed geometry.

```
data_Pr3Sb2
_space_group_name_H-M_alt 'I b a m'
_space_group_IT_number 72
_space_group_name_Hall '-I 2 2c'
_cell_length_a 8.920
_cell_length_b 12.008
_cell_length_c 6.443
_cell_angle_alpha 90.00
_cell_angle_beta 90.00
_cell_angle_gamma 90.00
loop_
_atom_site_label
_atom_site_type_symbol
_atom_site_fract_x
_atom_site_fract_y
_atom_site_fract_z
_atom_site_occupancy
Pr1 Pr 0.000 0.000 0.250 1
Pr2 Pr 0.140 0.351 0.000 1
Sb1 Sb 0.216 0.388 0.500 1
```

Mass density in g/cm3: 6.4
Total moment in μB/atom: 0.00

Entry 2:
Density functional theory data (PBE) for crystalline Pr3Sb at its relaxed geometry.

```
data_Pr3Sb
_space_group_name_H-M_alt 'P 42/n'
_space_group_IT_number 86
_cell_length_a 12.976
_cell_length_b 12.976
_cell_length_c 6.337
_cell_angle_alpha 90.00
_cell_angle_beta 90.00
_cell_angle_gamma 90.00
loop_
_space_group_symop_operation_xyz
'x,y,z'
'-x,-y,-z'
'-y,x+1/2,z+1/2'
'y,-x+1/2,-z+1/2'
'-x+1/2,-y+1/2,z'
'x+1/2,y+1/2,-z'
'y+1/2,-x,z+1/2'
'-y+1/2,x,-z+1/2'
loop_
_atom_site_label
_atom_site_type_symbol
_atom_site_fract_x
_atom_site_fract_y
_atom_site_fract_z
_atom_site_occupancy
Pr1 Pr 0.032 0.927 0.248 1
Pr2 Pr 0.110 0.278 0.023 1
Pr3 Pr 0.140 0.833 0.727 1
Sb1 Sb 0.048 0.292 0.530 1
```

Mass density in g/cm3: 6.8
Total moment in μB/atom: 0.00

Entry 3:
Density functional theory data (PBE) for crystalline Pr4Sb at its relaxed geometry.

```
data_Pr4Sb
_space_group_name_H-M_alt 'P m -3 m'
_space_group_IT_number 221
_space_group_name_Hall '-P 4 2 3'
_cell_length_a 5.996
_cell_length_b 5.996
_cell_length_c 5.996
_cell_angle_alpha 90.00
_cell_angle_beta 90.00
_cell_angle_gamma 90.00
loop_
_atom_site_label
_atom_site_type_symbol
_atom_site_fract_x
_atom_site_fract_y
_atom_site_fract_z
_atom_site_occupancy
Pr1 Pr 0.000 0.000 0.000 1
Pr2 Pr 0.000 0.500 0.500 1
Sb1 Sb 0.500 0.500 0.500 1
```

Mass density in g/cm3: 5.3
Total moment in μB/atom: 0.00

Entry 4:
Density functional theory data (PBE) for crystalline Pr3Sb2 at its relaxed geometry.

```
data_Pr3Sb2
_space_group_name_H-M_alt 'R -3 c'
_space_group_IT_number 167
_space_group_name_Hall '-R 3 2"c'
_cell_length_a 7.6975
_cell_length_b 7.6975
_cell_length_c 22.0288
_cell_angle_alpha 90.00
_cell_angle_beta 90.00
_cell_angle_gamma 120.00
loop_
_atom_site_label
_atom_site_type_symbol
_atom_site_fract_x
_atom_site_fract_y
_atom_site_fract_z
_atom_site_occupancy
Pr1 Pr 0.0000 0.3328 0.2500 1
Sb1 Sb 0.0000 0.0000 0.1641 1
```

Mass density in g/cm3: 5.9
Total moment in μB/atom: 0.00

One value per record, in order, for formation energy (no corrections): -0.877; -0.621; 0.008; -0.755 eV per atom.